[1]
A relaxed LaTcGe2Ir crystal. Source: Alexandria via LeMat-Bulk, functional PBE-GGA.

```
5
Lattice="-1.5768 3.8598 -1.2022 -2.5794 -1.9542 -2.8910 -1.6003 -1.3497 5.5967" Properties=species:S:1:pos:R:3 pbc="T T T"
La 0.0000 0.0000 0.0000
Tc -2.6275 1.7315 1.1739
Ge -3.0510 0.8478 -1.1076
Ge -2.7054 -0.2919 2.6111
Ir -3.1288 -1.1755 0.3296
```

Computed properties:
symmetry	I-4m2
ΔH_f (0 K)	-0.659	eV/atom

---

[2]
A relaxed Mn4OsCl crystal. Source: Alexandria via LeMat-Bulk, functional PBE-GGA.

```
6
Lattice="0.0000 3.4072 3.4072 3.4072 0.0000 3.4072 3.4072 3.4072 0.0000" Properties=species:S:1:pos:R:3 pbc="T T T"
Mn 2.5583 2.5583 4.2562
Mn 2.5583 4.2562 2.5583
Mn 4.2562 4.2562 4.2562
Mn 4.2562 2.5583 2.5583
Os 1.7036 1.7036 1.7036
Cl 0.0000 0.0000 0.0000
```

Computed properties:
symmetry	F-43m

---

[3]
A relaxed Y2TiCuPb crystal. Source: Alexandria via LeMat-Bulk, functional PBE-GGA.

```
5
Lattice="-3.2644 -3.0786 3.6222 3.5827 -3.7655 0.0285 2.6073 2.5146 4.4870" Properties=species:S:1:pos:R:3 pbc="T T T"
Pb 0.0000 0.0000 0.0000
Y 1.3036 1.2573 2.2435
Y -1.6322 -1.5393 1.8111
Cu 1.4628 -2.1647 4.0688
Ti 1.7914 -1.8828 0.0142
```

Computed properties:
symmetry	P4/mmm
ΔH_f (0 K)	0.877	eV/atom

---

[4]
A relaxed Zr7ScTl3 crystal. Source: Alexandria via LeMat-Bulk, functional PBE-GGA.

```
11
Lattice="5.1071 -0.1390 -0.1780 -2.3386 7.2564 0.8545 -2.3386 -0.9301 7.2471" Properties=species:S:1:pos:R:3 pbc="T T T"
Zr 0.0829 1.2014 1.5385
Zr -2.2149 6.5680 5.0598
Zr 2.6448 2.8708 0.3249
Zr -2.2149 3.3166 7.5988
Zr -2.3386 3.1632 4.0508
Zr 2.6448 -0.3807 2.8639
Zr 0.3469 4.9859 6.3852
Sc 0.2149 3.0937 3.9619
Tl -2.3386 5.4472 2.2673
Tl 2.5536 -0.0695 -0.0890
Tl -2.3386 0.8791 5.8343
```

Computed properties:
symmetry	C2/m
ΔH_f (0 K)	0.217	eV/atom

---

Number 1: D(E_F) 2.89 states/eV/cell, calculated total energy -7.337 eV per atom. Number 2: D(E_F) 8.99 states/eV/cell, calculated total energy -7.421 eV per atom. Number 3: D(E_F) 4.98 states/eV/cell, calculated total energy -4.848 eV per atom. Number 4: D(E_F) 7.21 states/eV/cell, calculated total energy -6.443 eV per atom.